Here is ZrScTc2 at its PBEsol-relaxed geometry from Alexandria. Energies are from meta-GGA SCAN.

Results
- Magnetization: 0.000 μB per formula unit
- Volume: 66.77 Å³/cell
- Total energy: -29.03 eV/atom
- ΔH_f (0 K): -0.2646 eV per atom

Cell lengths 4.5538, 4.5538, 4.5538 Å; angles 60.00, 60.00, 60.00 degrees
Last column: nearest neighbours and their distance in Å.
Sites, in units of the cell vectors:
Zr 0.0000 0.0000 0.0000  8 Tc 2.79
Sc 0.5000 0.5000 0.5000  8 Tc 2.79
Tc 0.2500 0.2500 0.2500  4 Sc 2.79, 4 Zr 2.79
Tc 0.7500 0.7500 0.7500  4 Sc 2.79, 4 Zr 2.79